(1)
! La2GaSn3 | Alexandria via LeMat-Bulk | PBE | relaxed; values from VASP
! Space group: Pmm2
! Total moment (μB/cell): 0.0
! Energy of formation from the pure elements (eV/atom): -0.579
! Calculated density (kg/m3): 6771
! Calculated total energy (eV per cell): -28.36
&SYSTEM
  ibrav = 0, nat = 6, ntyp = 3
/
ATOMIC_SPECIES
La 138.91 La.upf
Ga 69.72 Ga.upf
Sn 118.71 Sn.upf
ATOMIC_POSITIONS angstrom
La 0.0000 0.0000 0.0000
La 0.0000 2.2878 4.2526
Ga 2.1470 0.0000 2.8861
Sn 2.1470 0.0000 5.5890
Sn 2.1470 2.2878 1.5110
Sn 2.1470 2.2878 7.3391
CELL_PARAMETERS angstrom
4.2939 0.0000 0.0000
0.0000 4.5756 0.0000
0.0000 0.0000 8.7829



(2)
! LaGaSn3 | Alexandria via LeMat-Bulk | PBE | relaxed; values from VASP
! Space group: Pbcm
! Total moment (μB/cell): 0.0
! Energy of formation from the pure elements (eV/atom): -0.366
! Energy above the most stable polymorph in this dataset (kcal/mol of atoms): 0.00
! Calculated density (kg/m3): 6940
! Calculated total energy (eV per cell): -87.16
&SYSTEM
  ibrav = 0, nat = 20, ntyp = 3
/
ATOMIC_SPECIES
La 138.91 La.upf
Ga 69.72 Ga.upf
Sn 118.71 Sn.upf
ATOMIC_POSITIONS angstrom
La 2.5388 0.0911 1.6363
La 2.5388 3.1155 4.9090
La 10.3375 3.2977 1.6363
La 10.3375 6.3222 4.9090
Ga 4.9698 1.6033 0.0000
Ga 4.9698 1.6033 3.2727
Ga 7.9065 4.8099 0.0000
Ga 7.9065 4.8099 3.2727
Sn 0.0226 4.8099 0.0000
Sn 0.0226 4.8099 3.2727
Sn 3.2023 3.3332 1.6363
Sn 3.2023 6.2867 4.9090
Sn 5.6492 4.1720 4.9090
Sn 5.6492 5.4479 1.6363
Sn 7.2271 0.9653 4.9090
Sn 7.2271 2.2413 1.6363
Sn 9.6740 0.1265 1.6363
Sn 9.6740 3.0801 4.9090
Sn 12.8537 1.6033 0.0000
Sn 12.8537 1.6033 3.2727
CELL_PARAMETERS angstrom
12.8763 0.0000 0.0000
0.0000 6.4133 0.0000
0.0000 0.0000 6.5453



(3)
! La4Ga2Sn | Alexandria via LeMat-Bulk | PBE | relaxed; values from VASP
! Space group: C2/m
! Total moment (μB/cell): 0.0
! Energy of formation from the pure elements (eV/atom): -0.475
! Calculated density (kg/m3): 6313
! Calculated total energy (eV per cell): -33.09
&SYSTEM
  ibrav = 0, nat = 7, ntyp = 3
/
ATOMIC_SPECIES
La 138.91 La.upf
Ga 69.72 Ga.upf
Sn 118.71 Sn.upf
ATOMIC_POSITIONS angstrom
La 0.1167 0.0000 3.0359
La 2.8968 0.0000 0.9482
La 3.5255 0.0000 7.6352
La 6.3056 0.0000 5.5475
Ga 0.5491 0.0000 6.4548
Ga 5.8732 0.0000 2.1286
Sn 3.2112 0.0000 4.2917
CELL_PARAMETERS angstrom
4.4387 -2.8091 0.0000
4.4387 2.8091 0.0000
-2.4550 0.0000 8.5834



(4)
! La4Ga2Sn5 | Alexandria via LeMat-Bulk | PBE | relaxed; values from VASP
! Space group: P2/m
! Total moment (μB/cell): 0.0
! Energy of formation from the pure elements (eV/atom): -0.730
! Calculated density (kg/m3): 6787
! Calculated total energy (eV per cell): -53.80
&SYSTEM
  ibrav = 0, nat = 11, ntyp = 3
/
ATOMIC_SPECIES
La 138.91 La.upf
Ga 69.72 Ga.upf
Sn 118.71 Sn.upf
ATOMIC_POSITIONS angstrom
La 1.6596 0.0000 3.2827
La 1.7481 0.0000 8.0508
La 5.7687 0.0000 0.9614
La 5.8573 0.0000 5.7295
Ga 0.6308 2.2919 1.0928
Ga 6.8860 2.2919 7.9195
Sn 0.8595 2.2919 5.6812
Sn 3.3619 2.2919 1.4197
Sn 3.7584 2.2919 4.5061
Sn 4.1550 2.2919 7.5925
Sn 6.6573 2.2919 3.3311
CELL_PARAMETERS angstrom
7.6324 0.0000 0.0000
0.0000 4.5839 0.0000
-0.1155 0.0000 9.0123